Crystalline Sr4TbTe5 at its relaxed geometry. Source: Alexandria via LeMat-Bulk, functional GGA-PBE.

Geometry as POSCAR:
```
Sr4TbTe5
1.0
-3.506 -3.036 0.406
3.004 -3.529 -0.442
2.364 3.030 16.384
Sr Tb Te
4 1 5
direct
0.402 0.402 0.803
0.801 0.801 0.603
0.199 0.199 0.397
0.598 0.598 0.197
0.000 0.000 0.000
0.095 0.095 0.190
0.500 0.500 0.000
0.905 0.905 0.810
0.301 0.301 0.601
0.699 0.699 0.399
```

Output
* formation energy without anion corrections: -1.6234 eV per atom
* V: 357.7 Å³/f.u.
* size of the total moment: 0.0 μB/f.u.

=====

Crystalline MnWCl3 at its relaxed geometry. Source: Alexandria via LeMat-Bulk, functional GGA-PBE.

Geometry as POSCAR:
```
MnWCl3
1.0
4.480 0.000 0.000
0.000 4.480 0.000
0.000 0.000 4.480
Mn W Cl
1 1 3
direct
0.000 0.000 0.000
0.500 0.500 0.500
0.000 0.500 0.000
0.000 0.000 0.500
0.500 0.000 0.000
```

Output
* energy relative to the lowest polymorph listed for this composition: 879 meV/atom
* formation energy without anion corrections: 1.3126 eV per atom
* V: 89.9 Å³/f.u.
* size of the total moment: 0.0 μB/f.u.

=====

Crystalline SrLiTlCd at its relaxed geometry. Source: Alexandria via LeMat-Bulk, functional GGA-PBE.

Geometry as POSCAR:
```
SrLiTlCd
1.0
5.349 0.000 0.000
0.000 5.350 -0.001
-2.675 -2.675 3.869
Sr Li Tl Cd
1 1 1 1
direct
0.750 0.250 0.500
0.250 0.750 0.500
0.500 0.500 0.000
0.000 0.000 0.000
```

Output
* E: -0.144 Ry per atom
* V: 110.7 Å³/f.u.
* size of the total moment: 0.0 μB/f.u.

=====

Crystalline Sr3Cd3Rh at its relaxed geometry. Source: Alexandria via LeMat-Bulk, functional GGA-PBE.

Geometry as POSCAR:
```
Sr3Cd3Rh
1.0
-0.609 -0.532 -4.297
3.895 -4.555 -2.213
-10.842 -12.690 0.882
Sr Cd Rh
6 6 2
direct
0.521 0.349 0.610
0.479 0.651 0.390
0.253 0.242 0.251
0.747 0.758 0.749
0.389 0.302 0.920
0.611 0.698 0.080
0.822 0.820 0.537
0.178 0.180 0.463
0.106 0.867 0.920
0.894 0.133 0.080
0.969 0.826 0.236
0.031 0.174 0.764
0.790 0.045 0.375
0.210 0.955 0.625
```

Output
* E: -0.183 Ry per atom
* V: 216.6 Å³/f.u.
* size of the total moment: 0.0 μB/f.u.

=====

Crystalline LaPr4Y8 at its relaxed geometry. Source: Alexandria via LeMat-Bulk, functional GGA-PBE.

Geometry as POSCAR:
```
LaPr4Y8
1.0
9.839 -0.001 -5.308
-6.351 9.201 -0.001
-2.380 -1.643 7.361
La Pr Y
1 4 8
direct
0.000 0.500 0.500
0.000 0.000 0.000
0.000 0.500 0.000
0.500 0.500 0.000
0.500 0.000 0.000
0.522 0.761 0.283
0.478 0.239 0.717
0.479 0.240 0.241
0.999 0.238 0.759
0.521 0.760 0.759
0.999 0.760 0.759
0.001 0.240 0.241
0.001 0.762 0.241
```

Output
* E: -0.391 Ry per atom
* V: 494.7 Å³/f.u.
* size of the total moment: 2.5 μB/f.u.

=====

Crystalline Sc3Zn7Pd at its relaxed geometry. Source: Alexandria via LeMat-Bulk, functional GGA-PBE.

Geometry as POSCAR:
```
Sc3Zn7Pd
1.0
-0.610 -3.045 0.315
9.820 -0.249 1.132
-1.424 1.598 12.702
Sc Zn Pd
6 14 2
direct
0.118 0.236 0.448
0.882 0.764 0.552
0.263 0.525 0.750
0.737 0.475 0.250
0.118 0.236 0.052
0.882 0.764 0.948
0.413 0.825 0.750
0.587 0.175 0.250
0.496 0.993 0.407
0.504 0.007 0.593
0.504 0.007 0.907
0.496 0.993 0.093
0.375 0.749 0.347
0.625 0.251 0.653
0.265 0.530 0.429
0.735 0.470 0.571
0.735 0.470 0.929
0.265 0.530 0.071
0.375 0.749 0.153
0.625 0.251 0.847
0.967 0.934 0.250
0.033 0.066 0.750
```

Output
* E: -0.239 Ry per atom
* V: 196.3 Å³/f.u.
* size of the total moment: 0.0 μB/f.u.

=====

Crystalline Sm4CuHgAu2 at its relaxed geometry. Source: Alexandria via LeMat-Bulk, functional GGA-PBE.

Geometry as POSCAR:
```
Sm4CuHgAu2
1.0
-2.041 4.773 -0.362
-4.583 1.046 2.231
1.783 4.189 7.768
Sm Cu Hg Au
4 1 1 2
direct
0.380 0.380 0.860
0.870 0.870 0.389
0.130 0.130 0.611
0.620 0.620 0.140
0.500 0.500 0.500
0.000 0.000 0.000
0.748 0.748 0.757
0.252 0.252 0.243
```

Output
* E: -0.315 Ry per atom
* V: 199.0 Å³/f.u.
* size of the total moment: 0.0 μB/f.u.

=====

Crystalline ScCd5 at its relaxed geometry. Source: Alexandria via LeMat-Bulk, functional GGA-PBE.

Geometry as POSCAR:
```
ScCd5
1.0
4.493 0.000 0.000
2.247 6.439 0.000
0.000 0.000 4.548
Cd Sc
5 1
direct
0.024 0.952 0.000
0.698 0.603 0.000
0.361 0.278 0.000
0.531 0.938 0.500
0.191 0.617 0.500
0.861 0.278 0.500
```

Output
* E: -0.144 Ry per atom
* V: 131.6 Å³/f.u.
* size of the total moment: 0.0 μB/f.u.

=====

Crystalline TaBe6Fe2 at its relaxed geometry. Source: Alexandria via LeMat-Bulk, functional GGA-PBE.

Geometry as POSCAR:
```
TaBe6Fe2
1.0
-0.747 -1.967 2.002
4.774 0.054 3.940
-0.001 3.231 5.280
Ta Be Fe
1 6 2
direct
0.000 0.000 0.000
0.681 0.018 0.621
0.319 0.982 0.379
0.319 0.379 0.982
0.500 0.664 0.336
0.500 0.336 0.664
0.681 0.621 0.018
0.870 0.630 0.630
0.130 0.370 0.370
```

Output
* E: -0.413 Ry per atom
* V: 89.8 Å³/f.u.
* size of the total moment: 1.4 μB/f.u.

=====

Crystalline Nd8Ho6Cd at its relaxed geometry. Source: Alexandria via LeMat-Bulk, functional GGA-PBE.

Geometry as POSCAR:
```
Nd8Ho6Cd
1.0
-4.919 0.611 4.143
-6.022 0.547 -7.229
2.115 -8.385 3.747
Nd Ho Cd
8 6 1
direct
0.817 0.043 0.272
0.817 0.728 0.770
0.817 0.230 0.957
0.183 0.957 0.728
0.183 0.272 0.230
0.183 0.770 0.043
0.843 0.333 0.667
0.157 0.667 0.333
0.671 0.646 0.098
0.671 0.902 0.548
0.671 0.452 0.354
0.329 0.354 0.902
0.329 0.098 0.452
0.329 0.548 0.646
0.500 0.000 0.000
```

Output
* E: -0.319 Ry per atom
* V: 497.0 Å³/f.u.
* size of the total moment: 0.0 μB/f.u.

=====

Crystalline Zr5TePb3 at its relaxed geometry. Source: Alexandria via LeMat-Bulk, functional GGA-PBE.

Geometry as POSCAR:
```
Zr5TePb3
1.0
-3.363 -6.429 5.142
6.317 5.390 3.181
-4.343 3.893 2.027
Zr Te Pb
10 2 6
direct
0.667 0.333 0.000
0.333 0.667 0.000
0.333 0.667 0.500
0.667 0.333 0.500
0.723 0.723 0.750
0.277 0.000 0.750
0.000 0.277 0.750
0.277 0.277 0.250
0.723 0.000 0.250
0.000 0.723 0.250
0.000 0.000 0.000
0.000 0.000 0.500
0.389 0.389 0.750
0.611 0.000 0.750
0.000 0.611 0.750
0.611 0.611 0.250
0.389 0.000 0.250
0.000 0.389 0.250
```

Output
* formation energy without anion corrections: -0.3763 eV per atom
* V: 211.4 Å³/f.u.
* size of the total moment: 0.0 μB/f.u.

=====

Crystalline Cd3Cu2Pd8 at its relaxed geometry. Source: Alexandria via LeMat-Bulk, functional GGA-PBE.

Geometry as POSCAR:
```
Cd3Cu2Pd8
1.0
5.237 0.000 0.000
2.619 4.536 0.000
2.619 1.512 9.679
Cd Cu Pd
3 2 8
direct
0.000 0.000 0.000
0.818 0.818 0.547
0.182 0.182 0.453
0.640 0.640 0.081
0.360 0.360 0.919
0.724 0.724 0.829
0.276 0.276 0.171
0.234 0.736 0.294
0.736 0.234 0.294
0.736 0.736 0.294
0.264 0.766 0.706
0.766 0.264 0.706
0.264 0.264 0.706
```

Output
* E: -0.295 Ry per atom
* V: 229.9 Å³/f.u.
* size of the total moment: 0.0 μB/f.u.